Below is crystalline Ni2CSO at its relaxed geometry, with properties calculated at the PBE with a Hubbard U level.

As for the density of states at the Fermi level: 2.010 states/eV per cell. The electronic total energy comes out at -3.302 eV/atom.

The space group is P4/mmm (No. 123) and the conventional cell measures 3.738, 3.738 and 4.554 Å, with angles of 90.00, 90.00 and 90.00 degrees. Symmetry generates all atoms from Ni at (0.000, 0.500, 0.000), C at (0.000, 0.000, 0.500), S at (0.500, 0.500, 0.500) and O at (0.500, 0.500, 0.000).